[1]
Entry from the Alexandria database: a geometry-optimized BeNbH structure (GGA-PBE).

Properties
- space group = P-6m2
- size of the total moment (μB per atom) = 0.000
- E above lowest polymorph (meV/atom) = 745

Structure (POSCAR):
```
BeNbH
1.0
2.473 -1.428 0.000
0.000 2.855 0.000
0.000 0.000 9.276
Be H Nb
2 2 2
Direct
0.333 0.667 0.879 Be
0.333 0.667 0.121 Be
0.667 0.333 0.500 H
0.667 0.333 0.000 H
0.000 0.000 0.654 Nb
0.000 0.000 0.346 Nb
```

[2]
Entry from the Alexandria database: a geometry-optimized Dy4Y4Th3 structure (GGA-PBE).

Properties
- E_form (meV/atom) = 58
- space group = C2/m
- size of the total moment (μB per atom) = 0.000

Structure (POSCAR):
```
Dy4Y4Th3
1.0
3.544 -0.055 -0.369
-0.002 5.652 -0.858
-1.718 -0.156 17.984
Dy Y Th
4 4 3
Direct
0.695 0.098 0.197 Dy
0.939 0.720 0.440 Dy
0.305 0.902 0.803 Dy
0.061 0.280 0.560 Dy
0.379 0.190 0.380 Y
0.409 0.454 0.908 Y
0.591 0.546 0.092 Y
0.621 0.810 0.620 Y
0.739 0.369 0.737 Th
0.000 0.000 0.000 Th
0.261 0.631 0.263 Th
```

[3]
Entry from the Alexandria database: a geometry-optimized PrSm2Si6 structure (GGA-PBE).

Properties
- raw formation energy (eV/atom) = -0.568
- space group = P6/mmm
- size of the total moment (μB per atom) = 0.000

Structure (POSCAR):
```
PrSm2Si6
1.0
4.128 0.000 0.000
0.000 6.198 -3.578
0.000 0.000 7.157
Sm Si Pr
2 6 1
Direct
0.000 0.667 0.333 Sm
0.000 0.333 0.667 Sm
0.500 0.665 0.000 Si
0.500 0.335 0.000 Si
0.500 0.335 0.335 Si
0.500 0.000 0.335 Si
0.500 0.665 0.665 Si
0.500 0.000 0.665 Si
0.000 0.000 0.000 Pr
```

[4]
Entry from the Alexandria database: a geometry-optimized Nb2HW structure (GGA-PBE).

Properties
- space group = R-3m
- size of the total moment (μB per atom) = 0.000
- E above lowest polymorph (meV/atom) = 0

Structure (POSCAR):
```
Nb2HW
1.0
-2.885 -0.165 -1.109
-0.561 -1.526 -2.633
-2.171 -6.235 2.257
H W Nb
1 1 2
Direct
0.000 0.000 0.000 H
0.500 0.500 0.500 W
0.269 0.269 0.192 Nb
0.731 0.731 0.808 Nb
```